Record 1
Computed, not measured: a relaxed Tb2MnAl crystal at the PBE level of DFT.

Summary:
Crystal system: trigonal
Calculated formation energy (kJ/mol of formula units): 165.2
Theoretical density (g/cm³): 6.62

Cell: 3.315 3.315 10.711 Å, 81.10 81.10 60.00°
Site moments in Bohr magnetons follow the coordinates.
Fractional coordinates of all 4 atoms:
Al (0.500, 0.500, 0.500)  0.00
Tb (0.910, 0.910, 0.271)  -0.26
Mn (0.000, 0.000, 0.000)  3.69
Tb (0.090, 0.090, 0.729)  -0.26


Record 2
Computed, not measured: a relaxed Sm4Cd5Hg2 crystal at the PBE level of DFT.

Summary:
Crystal system: monoclinic
Calculated formation energy (kJ/mol of formula units): -323.1
Theoretical density (g/cm³): 8.87

Cell: 3.583 7.938 10.338 Å, 95.28 90.00 90.00°
Fractional coordinates of all 11 atoms:
Hg (0.000, 0.935, 0.360)
Sm (0.500, 0.733, 0.557)
Cd (0.000, 0.805, 0.841)
Sm (0.500, 0.169, 0.883)
Sm (0.500, 0.267, 0.443)
Cd (0.000, 0.500, 0.000)
Cd (0.000, 0.552, 0.296)
Cd (0.000, 0.448, 0.704)
Cd (0.000, 0.195, 0.159)
Sm (0.500, 0.831, 0.117)
Hg (0.000, 0.065, 0.640)


Record 3
Computed, not measured: a relaxed CoAs5 crystal at the PBE level of DFT.

Summary:
Crystal system: monoclinic
Calculated formation energy (kJ/mol of formula units): 34.3
E above lowest polymorph (eV per formula unit): 0.00
Theoretical density (g/cm³): 5.37

Cell: 6.503 6.503 6.700 Å, 72.03 72.03 29.95°
Fractional coordinates of all 6 atoms:
As (0.910, 0.910, 0.654)
As (0.670, 0.670, 0.165)
As (0.303, 0.303, 0.295)
Co (0.305, 0.305, 0.941)
As (0.940, 0.940, 0.003)
As (0.704, 0.704, 0.775)


Record 4
Computed, not measured: a relaxed MnFe4Ge crystal at the PBE level of DFT.

Summary:
Crystal system: tetragonal
Calculated formation energy (kJ/mol of formula units): 256.4
E above lowest polymorph (eV per formula unit): 0.96
Theoretical density (g/cm³): 7.33

Cell: 6.165 6.164 6.042 Å, 120.67 120.67 90.00°
Site moments in Bohr magnetons follow the coordinates.
Fractional coordinates of all 12 atoms:
Mn (0.250, 0.750, 0.500)  -1.54
Ge (0.500, 0.500, 0.000)  -0.12
Fe (0.874, 0.652, 0.011)  1.98
Ge (0.750, 0.250, 0.500)  -0.12
Mn (0.000, 0.000, 0.000)  -1.54
Fe (0.114, 0.392, 0.489)  1.98
Fe (0.608, 0.624, 0.511)  1.98
Fe (0.902, 0.886, 0.511)  1.98
Fe (0.348, 0.864, 0.989)  1.98
Fe (0.376, 0.098, 0.489)  1.98
Fe (0.136, 0.358, 0.011)  1.98
Fe (0.642, 0.126, 0.989)  1.98


Record 5
Computed, not measured: a relaxed AcSmS crystal at the PBE level of DFT.

Summary:
Crystal system: monoclinic
E above lowest polymorph (eV per formula unit): 0.52
Theoretical density (g/cm³): 6.47
E_form (uncorrected) (eV/f.u.): -3.05

Cell: 4.019 9.426 23.845 Å, 158.03 85.17 77.69°
Fractional coordinates of all 6 atoms:
S (0.077, 0.570, 0.276)
Ac (0.863, 0.609, 0.665)
S (0.923, 0.430, 0.724)
Sm (0.066, 0.670, 0.197)
Ac (0.137, 0.391, 0.335)
Sm (0.934, 0.330, 0.803)